*A*
A plane-wave DFT calculation with meta-GGA SCAN was carried out for a PBEsol-optimized structure of Ta2SiP.

Values from the calculation:
The symmetry is Fm-3m (225).

Lattice parameters (Å, degrees): 4.3923 4.3923 4.3923 60.00 60.00 60.00
Closest atoms and distances in Å follow each position.
Positions (direct):
Ta: 0.2500 0.2500 0.2500  4 Si 2.69, 4 P 2.69
Ta: 0.7500 0.7500 0.7500  4 Si 2.69, 4 P 2.69
Si: 0.0000 0.0000 0.0000  8 Ta 2.69
P: 0.5000 0.5000 0.5000  8 Ta 2.69

*B*
A plane-wave DFT calculation with meta-GGA SCAN was carried out for a PBEsol-optimized structure of Ta2SiP.

Values from the calculation:
The symmetry is F-43m (216).

Lattice parameters (Å, degrees): 4.4419 4.4419 4.4419 60.00 60.00 60.00
Closest atoms and distances in Å follow each position.
Positions (direct):
Ta: 0.0000 0.0000 0.0000  4 Ta 2.72, 4 Si 2.72
Ta: 0.2500 0.2500 0.2500  4 Ta 2.72, 4 P 2.72
Si: 0.7500 0.7500 0.7500  4 P 2.72, 4 Ta 2.72
P: 0.5000 0.5000 0.5000  4 Si 2.72, 4 Ta 2.72

Which structure wins on stability? *A* wins.

*A*
A plane-wave DFT calculation with meta-GGA SCAN was carried out for a PBEsol-optimized structure of SiTeP2.

Values from the calculation:
The symmetry is I4/mmm (139).

Lattice parameters (Å, degrees): 5.6004 5.6004 5.6004 139.89 139.89 58.02
Closest atoms and distances in Å follow each position.
Positions (direct):
Si: 0.0000 0.0000 0.0000  4 Te 2.72
Te: 0.5000 0.5000 0.0000  4 Si 2.72
P: 0.2500 0.7500 0.5000  4 P 2.72
P: 0.7500 0.2500 0.5000  4 P 2.72

*B*
A plane-wave DFT calculation with meta-GGA SCAN was carried out for a PBEsol-optimized structure of SiTeP2.

Values from the calculation:
The symmetry is Immm (71).

Lattice parameters (Å, degrees): 5.5060 5.5060 5.5060 145.03 127.60 64.56
Closest atoms and distances in Å follow each position.
Positions (direct):
Si: 0.0000 0.0000 0.0000  4 P 2.37
Te: 0.5000 0.5000 0.0000  4 Si 2.94, 4 P 2.96
P: 0.1819 0.6819 0.5000  2 Si 2.37
P: 0.8181 0.3181 0.5000  2 Si 2.37

Which structure wins on stability? *B* wins.